Record 1
# AlSb2As | Alexandria | PBE-GGA | relaxed
# E above lowest polymorph = 265 meV/atom
# D(E_F) = 2.17 states/eV/cell
data_AlSb2As
_chemical_formula_sum 'Al1 Sb2 As1'
_symmetry_space_group_name_H-M 'P 1'
_symmetry_Int_Tables_number 1
_symmetry_space_group_name_Hall 'P 1'
_cell_length_a 3.7050
_cell_length_b 4.7431
_cell_length_c 5.2609
_cell_angle_alpha 90.00
_cell_angle_beta 90.00
_cell_angle_gamma 90.00
loop_
_atom_site_label
_atom_site_type_symbol
_atom_site_fract_x
_atom_site_fract_y
_atom_site_fract_z
_atom_site_occupancy
Al1 Al 0.0000 0.0000 0.0000 1
Sb1 Sb 0.0000 0.5000 0.5000 1
Sb2 Sb 0.5000 0.5000 0.0000 1
As1 As 0.5000 0.0000 0.5000 1

Record 2
# Al2SbAs | Alexandria | PBE-GGA | relaxed
# E above lowest polymorph = 597 meV/atom
# D(E_F) = 7.13 states/eV/cell
data_Al2SbAs
_chemical_formula_sum 'Al8 Sb4 As4'
_symmetry_space_group_name_H-M 'P 1'
_symmetry_Int_Tables_number 1
_symmetry_space_group_name_Hall 'P 1'
_cell_length_a 6.9617
_cell_length_b 6.9617
_cell_length_c 6.9617
_cell_angle_alpha 90.00
_cell_angle_beta 90.00
_cell_angle_gamma 90.00
loop_
_atom_site_label
_atom_site_type_symbol
_atom_site_fract_x
_atom_site_fract_y
_atom_site_fract_z
_atom_site_occupancy
Al1 Al 0.0000 0.0000 0.0000 1
Al2 Al 0.0000 0.5000 0.5000 1
Al3 Al 0.2500 0.2500 0.2500 1
Al4 Al 0.2500 0.7500 0.7500 1
Al5 Al 0.5000 0.0000 0.5000 1
Al6 Al 0.5000 0.5000 0.0000 1
Al7 Al 0.7500 0.2500 0.7500 1
Al8 Al 0.7500 0.7500 0.2500 1
Sb1 Sb 0.2500 0.2500 0.7500 1
Sb2 Sb 0.2500 0.7500 0.2500 1
Sb3 Sb 0.7500 0.2500 0.2500 1
Sb4 Sb 0.7500 0.7500 0.7500 1
As1 As 0.0000 0.0000 0.5000 1
As2 As 0.0000 0.5000 0.0000 1
As3 As 0.5000 0.0000 0.0000 1
As4 As 0.5000 0.5000 0.5000 1

Record 3
# AlSbAs2 | Alexandria | PBE-GGA | relaxed
# E above lowest polymorph = 147 meV/atom
# D(E_F) = 1.71 states/eV/cell
data_AlSbAs2
_chemical_formula_sum 'Al1 Sb1 As2'
_symmetry_space_group_name_H-M 'P 1'
_symmetry_Int_Tables_number 1
_symmetry_space_group_name_Hall 'P 1'
_cell_length_a 3.0993
_cell_length_b 3.8013
_cell_length_c 8.7462
_cell_angle_alpha 90.00
_cell_angle_beta 94.38
_cell_angle_gamma 90.00
loop_
_atom_site_label
_atom_site_type_symbol
_atom_site_fract_x
_atom_site_fract_y
_atom_site_fract_z
_atom_site_occupancy
Al1 Al 0.0000 0.0000 0.0000 1
Sb1 Sb 0.9563 0.5000 0.4913 1
As1 As 0.4327 0.5000 0.8835 1
As2 As 0.8040 0.0000 0.2773 1

Record 4
# Al2SbAs | Alexandria | PBE-GGA | relaxed
# E above lowest polymorph = 451 meV/atom
# D(E_F) = 1.65 states/eV/cell
data_Al2SbAs
_chemical_formula_sum 'Al2 Sb1 As1'
_symmetry_space_group_name_H-M 'P 1'
_symmetry_Int_Tables_number 1
_symmetry_space_group_name_Hall 'P 1'
_cell_length_a 3.0090
_cell_length_b 3.0090
_cell_length_c 9.4052
_cell_angle_alpha 90.00
_cell_angle_beta 90.00
_cell_angle_gamma 90.00
loop_
_atom_site_label
_atom_site_type_symbol
_atom_site_fract_x
_atom_site_fract_y
_atom_site_fract_z
_atom_site_occupancy
Al1 Al 0.0000 0.0000 0.0000 1
Al2 Al 0.5000 0.5000 0.1977 1
Sb1 Sb 0.5000 0.5000 0.7533 1
As1 As 0.0000 0.0000 0.3920 1

Record 5
# Al2SbAs | Alexandria | PBE-GGA | relaxed
# E above lowest polymorph = 503 meV/atom
# D(E_F) = 2.54 states/eV/cell
data_Al2SbAs
_chemical_formula_sum 'Al4 Sb2 As2'
_symmetry_space_group_name_H-M 'P 1'
_symmetry_Int_Tables_number 1
_symmetry_space_group_name_Hall 'P 1'
_cell_length_a 6.1388
_cell_length_b 7.2939
_cell_length_c 3.6422
_cell_angle_alpha 90.00
_cell_angle_beta 90.00
_cell_angle_gamma 90.00
loop_
_atom_site_label
_atom_site_type_symbol
_atom_site_fract_x
_atom_site_fract_y
_atom_site_fract_z
_atom_site_occupancy
Al1 Al 0.2500 0.2500 0.0000 1
Al2 Al 0.2500 0.7500 0.0000 1
Al3 Al 0.7500 0.2500 0.0000 1
Al4 Al 0.7500 0.7500 0.0000 1
Sb1 Sb 0.0000 0.0000 0.5000 1
Sb2 Sb 0.5000 0.5000 0.5000 1
As1 As 0.0000 0.5000 0.5000 1
As2 As 0.5000 0.0000 0.5000 1

Record 6
# AlSb2As | Alexandria | PBE-GGA | relaxed
# E above lowest polymorph = 347 meV/atom
# D(E_F) = 5.28 states/eV/cell
data_AlSb2As
_chemical_formula_sum 'Al3 Sb6 As3'
_symmetry_space_group_name_H-M 'P 1'
_symmetry_Int_Tables_number 1
_symmetry_space_group_name_Hall 'P 1'
_cell_length_a 3.2504
_cell_length_b 3.2504
_cell_length_c 30.4791
_cell_angle_alpha 90.00
_cell_angle_beta 90.00
_cell_angle_gamma 120.00
loop_
_atom_site_label
_atom_site_type_symbol
_atom_site_fract_x
_atom_site_fract_y
_atom_site_fract_z
_atom_site_occupancy
Al1 Al 0.0000 0.0000 0.0000 1
Al2 Al 0.3333 0.6667 0.6667 1
Al3 Al 0.6667 0.3333 0.3333 1
Sb1 Sb 0.0000 0.0000 0.2551 1
Sb2 Sb 0.0000 0.0000 0.7449 1
Sb3 Sb 0.3333 0.6667 0.4115 1
Sb4 Sb 0.3333 0.6667 0.9218 1
Sb5 Sb 0.6667 0.3333 0.0782 1
Sb6 Sb 0.6667 0.3333 0.5885 1
As1 As 0.0000 0.0000 0.5000 1
As2 As 0.3333 0.6667 0.1667 1
As3 As 0.6667 0.3333 0.8333 1

Record 7
# AlSb2As | Alexandria | PBE-GGA | relaxed
# E above lowest polymorph = 260 meV/atom
# D(E_F) = 2.24 states/eV/cell
data_AlSb2As
_chemical_formula_sum 'Al1 Sb2 As1'
_symmetry_space_group_name_H-M 'P 1'
_symmetry_Int_Tables_number 1
_symmetry_space_group_name_Hall 'P 1'
_cell_length_a 3.5814
_cell_length_b 3.5814
_cell_length_c 7.0595
_cell_angle_alpha 90.00
_cell_angle_beta 90.00
_cell_angle_gamma 90.00
loop_
_atom_site_label
_atom_site_type_symbol
_atom_site_fract_x
_atom_site_fract_y
_atom_site_fract_z
_atom_site_occupancy
Al1 Al 0.0000 0.0000 0.0000 1
Sb1 Sb 0.5000 0.5000 0.2495 1
Sb2 Sb 0.5000 0.5000 0.7505 1
As1 As 0.0000 0.0000 0.5000 1

Record 8
# AlSbAs2 | Alexandria | PBE-GGA | relaxed
# E above lowest polymorph = 330 meV/atom
# D(E_F) = 7.73 states/eV/cell
data_AlSbAs2
_chemical_formula_sum 'Al4 Sb4 As8'
_symmetry_space_group_name_H-M 'P 1'
_symmetry_Int_Tables_number 1
_symmetry_space_group_name_Hall 'P 1'
_cell_length_a 6.9159
_cell_length_b 6.9159
_cell_length_c 6.9159
_cell_angle_alpha 90.00
_cell_angle_beta 90.00
_cell_angle_gamma 90.00
loop_
_atom_site_label
_atom_site_type_symbol
_atom_site_fract_x
_atom_site_fract_y
_atom_site_fract_z
_atom_site_occupancy
Al1 Al 0.0000 0.0000 0.0000 1
Al2 Al 0.0000 0.5000 0.5000 1
Al3 Al 0.5000 0.0000 0.5000 1
Al4 Al 0.5000 0.5000 0.0000 1
Sb1 Sb 0.0000 0.0000 0.5000 1
Sb2 Sb 0.0000 0.5000 0.0000 1
Sb3 Sb 0.5000 0.0000 0.0000 1
Sb4 Sb 0.5000 0.5000 0.5000 1
As1 As 0.2500 0.2500 0.2500 1
As2 As 0.2500 0.2500 0.7500 1
As3 As 0.2500 0.7500 0.2500 1
As4 As 0.2500 0.7500 0.7500 1
As5 As 0.7500 0.2500 0.2500 1
As6 As 0.7500 0.2500 0.7500 1
As7 As 0.7500 0.7500 0.2500 1
As8 As 0.7500 0.7500 0.7500 1

Record 9
# AlSbAs2 | Alexandria | PBE-GGA | relaxed
# E above lowest polymorph = 360 meV/atom
# D(E_F) = 4.17 states/eV/cell
data_AlSbAs2
_chemical_formula_sum 'Al2 Sb2 As4'
_symmetry_space_group_name_H-M 'P 1'
_symmetry_Int_Tables_number 1
_symmetry_space_group_name_Hall 'P 1'
_cell_length_a 3.9613
_cell_length_b 5.4104
_cell_length_c 8.0211
_cell_angle_alpha 90.00
_cell_angle_beta 90.00
_cell_angle_gamma 90.00
loop_
_atom_site_label
_atom_site_type_symbol
_atom_site_fract_x
_atom_site_fract_y
_atom_site_fract_z
_atom_site_occupancy
Al1 Al 0.0000 0.0000 0.0000 1
Al2 Al 0.5000 0.5000 0.0000 1
Sb1 Sb 0.0000 0.5000 0.7268 1
Sb2 Sb 0.5000 0.0000 0.7268 1
As1 As 0.0000 0.0000 0.4584 1
As2 As 0.0000 0.5000 0.2043 1
As3 As 0.5000 0.0000 0.2043 1
As4 As 0.5000 0.5000 0.4584 1

Record 10
# AlSb2As | Alexandria | PBE-GGA | relaxed
# E above lowest polymorph = 149 meV/atom
# D(E_F) = 1.91 states/eV/cell
data_AlSb2As
_chemical_formula_sum 'Al1 Sb2 As1'
_symmetry_space_group_name_H-M 'P 1'
_symmetry_Int_Tables_number 1
_symmetry_space_group_name_Hall 'P 1'
_cell_length_a 3.0050
_cell_length_b 4.0558
_cell_length_c 8.2365
_cell_angle_alpha 90.00
_cell_angle_beta 93.48
_cell_angle_gamma 90.00
loop_
_atom_site_label
_atom_site_type_symbol
_atom_site_fract_x
_atom_site_fract_y
_atom_site_fract_z
_atom_site_occupancy
Al1 Al 0.0000 0.0000 0.0000 1
Sb1 Sb 0.0581 0.5000 0.7526 1
Sb2 Sb 0.9419 0.5000 0.2474 1
As1 As 0.0000 0.0000 0.5000 1

Record 11
# AlSbAs2 | Alexandria | PBE-GGA | relaxed
# E above lowest polymorph = 19 meV/atom
# D(E_F) = 0.97 states/eV/cell
data_AlSbAs2
_chemical_formula_sum 'Al1 Sb1 As2'
_symmetry_space_group_name_H-M 'P 1'
_symmetry_Int_Tables_number 1
_symmetry_space_group_name_Hall 'P 1'
_cell_length_a 3.9270
_cell_length_b 3.9270
_cell_length_c 5.8842
_cell_angle_alpha 90.00
_cell_angle_beta 90.00
_cell_angle_gamma 90.00
loop_
_atom_site_label
_atom_site_type_symbol
_atom_site_fract_x
_atom_site_fract_y
_atom_site_fract_z
_atom_site_occupancy
Al1 Al 0.0000 0.0000 0.0000 1
Sb1 Sb 0.5000 0.5000 0.5117 1
As1 As 0.0000 0.0000 0.4468 1
As2 As 0.5000 0.5000 0.9635 1

Record 12
# Al3SbAs | Alexandria | PBE-GGA | relaxed
# E above lowest polymorph = 0 meV/atom
# D(E_F) = 3.31 states/eV/cell
data_Al3SbAs
_chemical_formula_sum 'Al3 Sb1 As1'
_symmetry_space_group_name_H-M 'P 1'
_symmetry_Int_Tables_number 1
_symmetry_space_group_name_Hall 'P 1'
_cell_length_a 4.9428
_cell_length_b 4.9428
_cell_length_c 4.9428
_cell_angle_alpha 90.00
_cell_angle_beta 90.00
_cell_angle_gamma 90.00
loop_
_atom_site_label
_atom_site_type_symbol
_atom_site_fract_x
_atom_site_fract_y
_atom_site_fract_z
_atom_site_occupancy
Al1 Al 0.0000 0.0000 0.5000 1
Al2 Al 0.0000 0.5000 0.0000 1
Al3 Al 0.5000 0.0000 0.0000 1
Sb1 Sb 0.5000 0.5000 0.5000 1
As1 As 0.0000 0.0000 0.0000 1

| no. | calculated density (Mg/m³) | formation energy from raw total energies (eV/atom) |
| --- | --- | --- |
| 1 | 6.20 | 0.27 |
| 2 | 4.93 | 0.29 |
| 3 | 4.83 | 0.09 |
| 4 | 4.89 | 0.14 |
| 5 | 5.10 | 0.19 |
| 6 | 6.17 | 0.36 |
| 7 | 6.33 | 0.27 |
| 8 | 6.00 | 0.28 |
| 9 | 5.77 | 0.31 |
| 10 | 5.72 | 0.16 |
| 11 | 5.46 | -0.03 |
| 12 | 3.82 | 0.41 |